1.
BaMnZnGe2 | Alexandria | PBE-GGA | relaxed; crystal system = tetragonal; M_tot = 0.00 Bohr magnetons per cell; calculated formation energy = -0.238 eV per atom; E = -4.56 eV per atom
1.0
-1.2508 1.0941 -4.3564
4.0184 -1.7479 -1.5927
-2.1115 -4.3998 -0.4988
Ba Zn Ge Mn
1 1 2 1
direct
0.5000 0.5000 0.5000
0.0000 0.0000 0.5000
0.0000 0.5000 0.0000
0.5000 0.0000 0.0000
0.0000 0.0000 0.0000

=====

2.
Th2CdSe | Alexandria | PBE-GGA | relaxed; crystal system = tetragonal; M_tot = 0.00 Bohr magnetons per cell; energy above the most stable polymorph in this dataset = 0.000 eV per atom; E = -5.49 eV per atom
1.0
-0.0356 -1.9990 2.9576
3.2876 -1.1709 -0.7518
3.2271 6.3013 4.2977
Th Se Cd
2 1 1
direct
0.0000 0.0000 0.2301
0.0000 0.0000 0.7699
0.5000 0.5000 0.0000
0.5000 0.5000 0.5000